(1)
A plane-wave DFT calculation with SCAN was carried out for CsTl2Ge2 at its PBEsol-relaxed geometry.

Unit cell a=5.2182 b=5.2182 c=6.4438 alpha=113.88 beta=113.88 gamma=90.00
Atoms (fractional coordinates):
Cs  0.0000  0.0000  0.0000
Tl  0.2500  0.7500  0.5000
Tl  0.7500  0.2500  0.5000
Ge  0.3814  0.3814  0.7628
Ge  0.6186  0.6186  0.2372

Output
As for the space group: I4/mmm, No. 139.


(2)
A plane-wave DFT calculation with SCAN was carried out for CsZr2GeW at its PBEsol-relaxed geometry.

Unit cell a=5.1183 b=5.1183 c=5.1970 alpha=90.00 beta=90.00 gamma=90.00
Atoms (fractional coordinates):
Cs  0.0000  0.0000  0.0000
Ge  0.0000  0.0000  0.5000
Zr  0.0000  0.5000  0.0000
Zr  0.5000  0.0000  0.0000
W  0.5000  0.5000  0.5000

Output
As for the space group: P4/mmm, No. 123.


Number 1: V 28.77 A^3/atom, final energy -221.01 eV/cell, formation energy from the elements -62 meV/atom. Number 2: V 27.23 A^3/atom, final energy -173.15 eV/cell, formation energy from the elements 2967 meV/atom.